VASP calculation (GGA-PBE) on a relaxed Np2Tl3SnSe6 crystal. Values from VASP.

The structure in Quantum ESPRESSO input format:
```
&SYSTEM
  ibrav = 0, nat = 12, ntyp = 4
/
ATOMIC_SPECIES
Np 237.00 Np.upf
Tl 204.38 Tl.upf
Sn 118.71 Sn.upf
Se 78.96 Se.upf
CELL_PARAMETERS angstrom
3.6995 -6.3894 0.0000
3.6995 6.3894 0.0000
-2.4399 0.0000 7.6588
ATOMIC_POSITIONS angstrom
Np 3.6995 4.2523 0.0000
Np 3.6995 -4.2523 0.0000
Tl -1.2200 0.0000 3.8294
Tl 2.4796 2.0774 3.8294
Tl 2.4796 -2.0774 3.8294
Sn 3.6995 0.0000 0.0000
Se -0.0425 2.2383 6.0739
Se 1.1133 0.0000 1.5454
Se -0.0425 -2.2383 6.0739
Se 5.0016 2.2383 1.5849
Se 3.8458 0.0000 6.1135
Se 5.0016 -2.2383 1.5849
```

Computed properties:
- Space group: C2/m, No. 12
- ΔE_f (raw): -0.78 eV/atom

***

VASP calculation (GGA-PBE) on a relaxed SrNpSe3 crystal. Values from VASP.

The structure in Quantum ESPRESSO input format:
```
&SYSTEM
  ibrav = 0, nat = 20, ntyp = 3
/
ATOMIC_SPECIES
Sr 87.62 Sr.upf
Np 237.00 Np.upf
Se 78.96 Se.upf
CELL_PARAMETERS angstrom
7.9027 0.0000 0.0000
0.0000 4.2865 0.0000
0.0000 0.0000 16.2682
ATOMIC_POSITIONS angstrom
Sr 0.9687 1.0716 3.3222
Sr 2.9826 3.2149 11.4563
Sr 4.9200 1.0716 4.8119
Sr 6.9340 3.2149 12.9460
Np 1.8031 3.2149 7.4614
Np 2.1482 1.0716 15.5956
Np 5.7544 3.2149 0.6727
Np 6.0996 1.0716 8.8068
Se 0.0726 1.0716 6.5798
Se 1.0334 3.2149 0.8440
Se 1.3249 1.0716 12.8892
Se 2.6264 3.2149 4.7551
Se 2.9179 1.0716 8.9781
Se 3.8787 3.2149 14.7139
Se 4.0239 1.0716 1.5543
Se 4.9848 3.2149 7.2901
Se 5.2762 1.0716 11.5132
Se 6.5778 3.2149 3.3791
Se 6.8693 1.0716 15.4242
Se 7.8301 3.2149 9.6885
```

Computed properties:
- Space group: Pnma, No. 62
- ΔE_f (raw): -1.45 eV/atom

***

VASP calculation (GGA-PBE) on a relaxed SrNp2Se4 crystal. Values from VASP.

The structure in Quantum ESPRESSO input format:
```
&SYSTEM
  ibrav = 0, nat = 14, ntyp = 3
/
ATOMIC_SPECIES
Sr 87.62 Sr.upf
Np 237.00 Np.upf
Se 78.96 Se.upf
CELL_PARAMETERS angstrom
2.0857 -6.7920 0.0000
2.0857 6.7920 0.0000
0.0000 0.0000 14.0868
ATOMIC_POSITIONS angstrom
Sr 2.0857 5.2816 10.5651
Sr 2.0857 -5.2816 3.5217
Np 2.0857 1.8065 7.9495
Np 2.0857 1.8065 13.1807
Np 2.0857 -1.8065 0.9061
Np 2.0857 -1.8065 6.1373
Se 0.0000 0.0000 0.0000
Se 0.0000 0.0000 7.0434
Se 2.0857 3.1339 1.6568
Se 2.0857 3.1339 5.3866
Se 2.0857 0.7411 10.5651
Se 2.0857 -0.7411 3.5217
Se 2.0857 -3.1339 8.7002
Se 2.0857 -3.1339 12.4301
```

Computed properties:
- Space group: Cmcm, No. 63
- ΔE_f (raw): -1.39 eV/atom

***

Raw total energy values (in eV per cell) by entry order: -67.29, -129.35, -102.50.